1.
Here is a relaxed KNiI crystal from Alexandria. Energies are from PBE.

CIF file:
```
data_KNiI
_chemical_formula_sum 'K4 Ni4 I4'
_cell_length_a 3.891
_cell_length_b 11.399
_cell_length_c 7.569
_cell_angle_alpha 90.00
_cell_angle_beta 90.00
_cell_angle_gamma 90.00
_symmetry_space_group_name_H-M 'C m c m'
_symmetry_Int_Tables_number 63
_symmetry_space_group_name_Hall '-C 2c 2'
loop_
_atom_site_label
_atom_site_type_symbol
_atom_site_fract_x
_atom_site_fract_y
_atom_site_fract_z
_atom_site_occupancy
K1 K 0.000 0.233 0.250 1
Ni1 Ni 0.000 0.034 0.750 1
I1 I 0.000 0.500 0.000 1
```

* ΔE_f (raw): 0.02 eV/atom

***

2.
Here is a relaxed TbB4Pt12 crystal from Alexandria. Energies are from PBE.

CIF file:
```
data_TbB4Pt12
_chemical_formula_sum 'Tb2 B8 Pt24'
_cell_length_a 7.973
_cell_length_b 7.973
_cell_length_c 7.973
_cell_angle_alpha 90.00
_cell_angle_beta 90.00
_cell_angle_gamma 90.00
_symmetry_space_group_name_H-M 'I m -3'
_symmetry_Int_Tables_number 204
_symmetry_space_group_name_Hall '-I 2 2 3'
loop_
_atom_site_label
_atom_site_type_symbol
_atom_site_fract_x
_atom_site_fract_y
_atom_site_fract_z
_atom_site_occupancy
Tb1 Tb 0.000 0.000 0.000 1
B1 B 0.250 0.250 0.250 1
Pt1 Pt 0.000 0.323 0.179 1
```

* formation enthalpy at 0 K: -363 meV/atom

***

3.
Here is a relaxed ZnTeF6 crystal from Alexandria. Energies are from PBE.

CIF file:
```
data_ZnTeF6
_chemical_formula_sum 'Zn2 Te2 F12'
_cell_length_a 5.291
_cell_length_b 9.039
_cell_length_c 5.281
_cell_angle_alpha 90.00
_cell_angle_beta 102.94
_cell_angle_gamma 90.00
_symmetry_space_group_name_H-M 'C 1 2/m 1'
_symmetry_Int_Tables_number 12
loop_
_symmetry_equiv_pos_as_xyz
'x,y,z'
'-x,-y,-z'
'-x,y,-z'
'x,-y,z'
'x+1/2,y+1/2,z'
'-x+1/2,-y+1/2,-z'
'-x+1/2,y+1/2,-z'
'x+1/2,-y+1/2,z'
loop_
_atom_site_label
_atom_site_type_symbol
_atom_site_fract_x
_atom_site_fract_y
_atom_site_fract_z
_atom_site_occupancy
Zn1 Zn 0.000 0.000 0.000 1
Te1 Te 0.000 0.500 0.500 1
F1 F 0.244 0.144 0.252 1
F2 F 0.246 0.500 0.243 1
```

* ΔE_f (raw): -2.10 eV/atom

***

4.
Here is a relaxed VCu4S5 crystal from Alexandria. Energies are from PBE.

CIF file:
```
data_VCu4S5
_chemical_formula_sum 'V2 Cu8 S10'
_cell_length_a 7.355
_cell_length_b 7.355
_cell_length_c 6.119
_cell_angle_alpha 90.00
_cell_angle_beta 90.00
_cell_angle_gamma 90.00
_symmetry_space_group_name_H-M 'I 4'
_symmetry_Int_Tables_number 79
loop_
_symmetry_equiv_pos_as_xyz
'x,y,z'
'-y,x,z'
'-x,-y,z'
'y,-x,z'
'x+1/2,y+1/2,z+1/2'
'-y+1/2,x+1/2,z+1/2'
'-x+1/2,-y+1/2,z+1/2'
'y+1/2,-x+1/2,z+1/2'
loop_
_atom_site_label
_atom_site_type_symbol
_atom_site_fract_x
_atom_site_fract_y
_atom_site_fract_z
_atom_site_occupancy
V1 V 0.000 0.000 0.000 1
Cu1 Cu 0.153 0.266 0.483 1
S1 S 0.000 0.000 0.631 1
S2 S 0.063 0.290 0.126 1
```

* ΔE_f (raw): -0.29 eV/atom

***

5.
Here is a relaxed Th6Te3AsIr2 crystal from Alexandria. Energies are from PBE.

CIF file:
```
data_Th6Te3AsIr2
_chemical_formula_sum 'Th12 Te6 As2 Ir4'
_cell_length_a 7.466
_cell_length_b 12.886
_cell_length_c 7.846
_cell_angle_alpha 90.00
_cell_angle_beta 108.44
_cell_angle_gamma 90.00
_symmetry_space_group_name_H-M 'C 1 2/m 1'
_symmetry_Int_Tables_number 12
loop_
_symmetry_equiv_pos_as_xyz
'x,y,z'
'-x,-y,-z'
'-x,y,-z'
'x,-y,z'
'x+1/2,y+1/2,z'
'-x+1/2,-y+1/2,-z'
'-x+1/2,y+1/2,-z'
'x+1/2,-y+1/2,z'
loop_
_atom_site_label
_atom_site_type_symbol
_atom_site_fract_x
_atom_site_fract_y
_atom_site_fract_z
_atom_site_occupancy
Th1 Th 0.218 0.000 0.206 1
Th2 Th 0.246 0.324 0.208 1
Te1 Te 0.000 0.000 0.500 1
Te2 Te 0.000 0.341 0.500 1
As1 As 0.000 0.500 0.000 1
Ir1 Ir 0.000 0.167 0.000 1
```

* ΔE_f (raw): -1.17 eV/atom

***

6.
Here is a relaxed SrLi2MgCd2 crystal from Alexandria. Energies are from PBE.

CIF file:
```
data_SrLi2MgCd2
_chemical_formula_sum 'Sr1 Li2 Mg1 Cd2'
_cell_length_a 4.8628
_cell_length_b 4.8628
_cell_length_c 7.3665
_cell_angle_alpha 90.00
_cell_angle_beta 90.00
_cell_angle_gamma 120.00
_symmetry_space_group_name_H-M 'P -3 m 1'
_symmetry_Int_Tables_number 164
_symmetry_space_group_name_Hall '-P 3 2"'
loop_
_atom_site_label
_atom_site_type_symbol
_atom_site_fract_x
_atom_site_fract_y
_atom_site_fract_z
_atom_site_occupancy
Sr1 Sr 0.0000 0.0000 0.0000 1
Li1 Li 0.3333 0.6667 0.6822 1
Mg1 Mg 0.0000 0.0000 0.5000 1
Cd1 Cd 0.3333 0.6667 0.3022 1
```

* formation enthalpy at 0 K: -209 meV/atom

***

7.
Here is a relaxed KSb2 crystal from Alexandria. Energies are from PBE.

CIF file:
```
data_KSb2
_chemical_formula_sum 'K1 Sb2'
_cell_length_a 6.648
_cell_length_b 6.648
_cell_length_c 2.920
_cell_angle_alpha 90.00
_cell_angle_beta 90.00
_cell_angle_gamma 90.00
_symmetry_space_group_name_H-M 'P 4/m m m'
_symmetry_Int_Tables_number 123
_symmetry_space_group_name_Hall '-P 4 2'
loop_
_atom_site_label
_atom_site_type_symbol
_atom_site_fract_x
_atom_site_fract_y
_atom_site_fract_z
_atom_site_occupancy
K1 K 0.000 0.000 0.000 1
Sb1 Sb 0.000 0.500 0.500 1
```

* ΔE_f (raw): 0.29 eV/atom

***

8.
Here is a relaxed Tl5Hg2N4 crystal from Alexandria. Energies are from PBE.

CIF file:
```
data_Tl5Hg2N4
_chemical_formula_sum 'Tl10 Hg4 N8'
_cell_length_a 18.778
_cell_length_b 3.995
_cell_length_c 7.722
_cell_angle_alpha 90.00
_cell_angle_beta 113.30
_cell_angle_gamma 90.00
_symmetry_space_group_name_H-M 'C 1 2/m 1'
_symmetry_Int_Tables_number 12
loop_
_symmetry_equiv_pos_as_xyz
'x,y,z'
'-x,-y,-z'
'-x,y,-z'
'x,-y,z'
'x+1/2,y+1/2,z'
'-x+1/2,-y+1/2,-z'
'-x+1/2,y+1/2,-z'
'x+1/2,-y+1/2,z'
loop_
_atom_site_label
_atom_site_type_symbol
_atom_site_fract_x
_atom_site_fract_y
_atom_site_fract_z
_atom_site_occupancy
Tl1 Tl 0.000 0.000 0.000 1
Tl2 Tl 0.183 0.500 0.402 1
Tl3 Tl 0.184 0.500 0.969 1
Hg1 Hg 0.085 0.000 0.593 1
N1 N 0.093 0.500 0.097 1
N2 N 0.122 0.500 0.628 1
```

* ΔE_f (raw): 0.91 eV/atom

***

9.
Here is a relaxed YMg2Cu2 crystal from Alexandria. Energies are from PBE.

CIF file:
```
data_YMg2Cu2
_chemical_formula_sum 'Y2 Mg4 Cu4'
_cell_length_a 3.439
_cell_length_b 3.439
_cell_length_c 17.948
_cell_angle_alpha 90.00
_cell_angle_beta 90.00
_cell_angle_gamma 90.00
_symmetry_space_group_name_H-M 'I 4/m m m'
_symmetry_Int_Tables_number 139
_symmetry_space_group_name_Hall '-I 4 2'
loop_
_atom_site_label
_atom_site_type_symbol
_atom_site_fract_x
_atom_site_fract_y
_atom_site_fract_z
_atom_site_occupancy
Y1 Y 0.000 0.000 0.000 1
Mg1 Mg 0.000 0.000 0.368 1
Cu1 Cu 0.000 0.500 0.250 1
```

* formation enthalpy at 0 K: 70 meV/atom

***

10.
Here is a relaxed KIrSe3 crystal from Alexandria. Energies are from PBE.

CIF file:
```
data_KIrSe3
_chemical_formula_sum 'K1 Ir1 Se3'
_cell_length_a 5.057
_cell_length_b 5.057
_cell_length_c 5.057
_cell_angle_alpha 90.00
_cell_angle_beta 90.00
_cell_angle_gamma 90.00
_symmetry_space_group_name_H-M 'P m -3 m'
_symmetry_Int_Tables_number 221
_symmetry_space_group_name_Hall '-P 4 2 3'
loop_
_atom_site_label
_atom_site_type_symbol
_atom_site_fract_x
_atom_site_fract_y
_atom_site_fract_z
_atom_site_occupancy
K1 K 0.000 0.000 0.000 1
Ir1 Ir 0.500 0.500 0.500 1
Se1 Se 0.000 0.500 0.500 1
```

* ΔE_f (raw): -0.04 eV/atom

***

11.
Here is a relaxed ScAg3 crystal from Alexandria. Energies are from PBE.

CIF file:
```
data_ScAg3
_chemical_formula_sum 'Sc1 Ag3'
_cell_length_a 3.0534
_cell_length_b 3.0534
_cell_length_c 9.5491
_cell_angle_alpha 90.00
_cell_angle_beta 90.00
_cell_angle_gamma 120.00
_symmetry_space_group_name_H-M 'P -6 m 2'
_symmetry_Int_Tables_number 187
_symmetry_space_group_name_Hall 'P -6 2'
loop_
_atom_site_label
_atom_site_type_symbol
_atom_site_fract_x
_atom_site_fract_y
_atom_site_fract_z
_atom_site_occupancy
Sc1 Sc 0.0000 0.0000 0.0000 1
Ag1 Ag 0.0000 0.0000 0.5000 1
Ag2 Ag 0.6667 0.3333 0.2523 1
```

* formation enthalpy at 0 K: 20 meV/atom

***

12.
Here is a relaxed KRuI2 crystal from Alexandria. Energies are from PBE.

CIF file:
```
data_KRuI2
_chemical_formula_sum 'K4 Ru4 I8'
_cell_length_a 7.818
_cell_length_b 7.818
_cell_length_c 7.818
_cell_angle_alpha 90.00
_cell_angle_beta 90.00
_cell_angle_gamma 90.00
_symmetry_space_group_name_H-M 'F m -3 m'
_symmetry_Int_Tables_number 225
_symmetry_space_group_name_Hall '-F 4 2 3'
loop_
_atom_site_label
_atom_site_type_symbol
_atom_site_fract_x
_atom_site_fract_y
_atom_site_fract_z
_atom_site_occupancy
K1 K 0.000 0.000 0.000 1
Ru1 Ru 0.000 0.000 0.500 1
I1 I 0.250 0.250 0.250 1
```

* ΔE_f (raw): 0.20 eV/atom

***

Number 1: final energy -2.7907 eV/atom, DOS(E_F) 3.3 states/eV per cell. Number 2: final energy -6.4710 eV/atom, DOS(E_F) 10.8 states/eV per cell. Number 3: final energy -4.0555 eV/atom, DOS(E_F) 0.0 states/eV per cell. Number 4: final energy -4.9039 eV/atom, DOS(E_F) 12.1 states/eV per cell. Number 5: final energy -7.5260 eV/atom, DOS(E_F) 22.6 states/eV per cell. Number 6: final energy -1.6979 eV/atom, DOS(E_F) 4.4 states/eV per cell. Number 7: final energy -2.8282 eV/atom, DOS(E_F) 2.5 states/eV per cell. Number 8: final energy -3.2436 eV/atom, DOS(E_F) 3.4 states/eV per cell. Number 9: final energy -3.4995 eV/atom, DOS(E_F) 6.8 states/eV per cell. Number 10: final energy -4.1203 eV/atom, DOS(E_F) 7.8 states/eV per cell. Number 11: final energy -3.7014 eV/atom, DOS(E_F) 3.9 states/eV per cell. Number 12: final energy -3.1691 eV/atom, DOS(E_F) 0.0 states/eV per cell.